The following is a GGA-PBE calculation of crystalline PmEr2Ag at its relaxed geometry, from Alexandria via LeMat-Bulk.

The structure in POSCAR format:
```
PmEr2Ag
1.0
-2.061 -4.408 2.291
-2.572 -3.641 -3.008
2.242 -4.803 -0.912
Pm Ag Er
1 1 2
direct
0.000 0.000 0.000 Pm
0.500 0.500 0.500 Ag
0.750 0.750 0.750 Er
0.250 0.250 0.250 Er
```

## Properties
**Energy relative to the lowest polymorph listed for this composition**: 238 meV per atom
**Crystal system**: cubic
**Space-group type**: No. 225

The following is a GGA-PBE calculation of crystalline PmErAg3 at its relaxed geometry, from Alexandria via LeMat-Bulk.

The structure in POSCAR format:
```
PmErAg3
1.0
-1.612 -4.447 -1.559
3.724 -3.965 7.458
-10.634 3.438 1.187
Er Ag Pm
4 12 4
direct
0.250 0.402 0.849 Er
0.750 0.098 0.651 Er
0.750 0.598 0.151 Er
0.250 0.902 0.349 Er
0.750 0.341 0.253 Ag
0.250 0.159 0.247 Ag
0.250 0.659 0.747 Ag
0.750 0.254 0.952 Ag
0.750 0.114 0.388 Ag
0.250 0.386 0.112 Ag
0.250 0.886 0.612 Ag
0.750 0.754 0.452 Ag
0.250 0.246 0.548 Ag
0.250 0.746 0.048 Ag
0.750 0.841 0.753 Ag
0.750 0.614 0.888 Ag
0.750 0.964 0.090 Pm
0.250 0.536 0.410 Pm
0.750 0.464 0.590 Pm
0.250 0.036 0.910 Pm
```

## Properties
**Energy relative to the lowest polymorph listed for this composition**: 31 meV per atom
**Crystal system**: monoclinic
**Space-group type**: No. 11

The following is a GGA-PBE calculation of crystalline PmEr4Ag at its relaxed geometry, from Alexandria via LeMat-Bulk.

The structure in POSCAR format:
```
PmEr4Ag
1.0
-1.931 4.371 -2.468
-5.992 -1.730 1.624
1.821 3.233 10.163
Er Ag Pm
8 2 2
direct
0.933 0.211 0.866 Er
0.325 0.078 0.650 Er
0.067 0.711 0.134 Er
0.259 0.589 0.519 Er
0.675 0.578 0.350 Er
0.465 0.871 0.931 Er
0.741 0.089 0.481 Er
0.535 0.371 0.069 Er
0.601 0.964 0.202 Ag
0.399 0.464 0.798 Ag
0.136 0.221 0.272 Pm
0.864 0.721 0.728 Pm
```

## Properties
**Energy relative to the lowest polymorph listed for this composition**: 133 meV per atom
**Crystal system**: orthorhombic
**Space-group type**: No. 36

The following is a GGA-PBE calculation of crystalline PmEr2Ag at its relaxed geometry, from Alexandria via LeMat-Bulk.

The structure in POSCAR format:
```
PmEr2Ag
1.0
-2.627 -3.624 -1.814
-1.064 -1.445 4.427
-3.865 2.808 -0.012
Er Ag Pm
2 1 1
direct
0.000 0.000 0.500 Er
0.000 0.500 0.000 Er
0.500 0.000 0.000 Ag
0.500 0.500 0.500 Pm
```

## Properties
**Energy relative to the lowest polymorph listed for this composition**: 154 meV per atom
**Crystal system**: tetragonal
**Space-group type**: No. 123

The following is a GGA-PBE calculation of crystalline Pm3Er2Ag2 at its relaxed geometry, from Alexandria via LeMat-Bulk.

The structure in POSCAR format:
```
Pm3Er2Ag2
1.0
-1.547 -2.168 2.637
-3.937 -0.625 -5.486
7.480 -5.436 -0.083
Er Ag Pm
2 2 3
direct
0.852 0.705 0.187 Er
0.148 0.295 0.813 Er
0.178 0.356 0.221 Ag
0.822 0.644 0.779 Ag
0.609 0.218 0.444 Pm
0.391 0.782 0.556 Pm
0.500 0.000 0.000 Pm
```

## Properties
**Energy relative to the lowest polymorph listed for this composition**: 0 meV per atom
**Crystal system**: monoclinic
**Space-group type**: No. 12

The following is a GGA-PBE calculation of crystalline PmEr4Ag5 at its relaxed geometry, from Alexandria via LeMat-Bulk.

The structure in POSCAR format:
```
PmEr4Ag5
1.0
-3.238 1.282 0.877
-0.867 -3.175 1.438
6.636 5.585 16.340
Er Pm Ag
4 1 5
direct
0.000 0.000 0.204 Er
0.000 0.000 0.401 Er
0.000 0.000 0.796 Er
0.000 0.000 0.599 Er
0.000 0.000 0.000 Pm
0.500 0.500 0.109 Ag
0.500 0.500 0.891 Ag
0.500 0.500 0.500 Ag
0.500 0.500 0.697 Ag
0.500 0.500 0.303 Ag
```

## Properties
**Crystal system**: tetragonal
**Space-group type**: No. 123

The following is a GGA-PBE calculation of crystalline Pm3ErAg2 at its relaxed geometry, from Alexandria via LeMat-Bulk.

The structure in POSCAR format:
```
Pm3ErAg2
1.0
-4.249 -1.865 2.377
-1.721 -3.461 -5.793
4.899 -7.391 2.959
Er Pm Ag
2 6 4
direct
0.500 0.011 0.441 Er
0.500 0.511 0.559 Er
0.000 0.491 0.939 Pm
0.000 0.839 0.665 Pm
0.500 0.659 0.171 Pm
0.000 0.339 0.335 Pm
0.000 0.991 0.061 Pm
0.500 0.159 0.829 Pm
0.500 0.726 0.843 Ag
0.000 0.274 0.651 Ag
0.000 0.774 0.349 Ag
0.500 0.226 0.157 Ag
```

## Properties
**Crystal system**: orthorhombic
**Space-group type**: No. 26

The following is a GGA-PBE calculation of crystalline PmEr2Ag at its relaxed geometry, from Alexandria via LeMat-Bulk.

The structure in POSCAR format:
```
PmEr2Ag
1.0
3.577 0.000 0.000
0.000 3.577 0.000
0.000 0.000 8.802
Er Ag Pm
2 1 1
direct
0.000 0.000 0.208 Er
0.000 0.000 0.792 Er
0.500 0.500 0.000 Ag
0.500 0.500 0.500 Pm
```

## Properties
**Energy relative to the lowest polymorph listed for this composition**: 0 meV per atom
**Crystal system**: tetragonal
**Space-group type**: No. 123

The following is a GGA-PBE calculation of crystalline PmEr4Ag4 at its relaxed geometry, from Alexandria via LeMat-Bulk.

The structure in POSCAR format:
```
PmEr4Ag4
1.0
-2.327 4.938 2.260
-4.922 1.287 -7.880
-7.078 -4.985 3.607
Pm Er Ag
2 8 8
direct
0.500 0.500 0.500 Pm
0.000 0.000 0.000 Pm
0.901 0.403 0.165 Er
0.599 0.097 0.335 Er
0.099 0.835 0.403 Er
0.901 0.597 0.835 Er
0.099 0.165 0.597 Er
0.401 0.335 0.903 Er
0.599 0.903 0.665 Er
0.401 0.665 0.097 Er
0.102 0.863 0.715 Ag
0.398 0.363 0.215 Ag
0.898 0.285 0.863 Ag
0.398 0.637 0.785 Ag
0.898 0.715 0.137 Ag
0.602 0.215 0.637 Ag
0.602 0.785 0.363 Ag
0.102 0.137 0.285 Ag
```

## Properties
**Crystal system**: tetragonal
**Space-group type**: No. 86

The following is a GGA-PBE calculation of crystalline Pm2Er3Ag2 at its relaxed geometry, from Alexandria via LeMat-Bulk.

The structure in POSCAR format:
```
Pm2Er3Ag2
1.0
-2.014 -4.938 -0.746
5.045 1.107 -1.511
-0.139 -1.191 8.262
Ag Er Pm
2 3 2
direct
0.212 0.425 0.139 Ag
0.788 0.575 0.861 Ag
0.339 0.678 0.517 Er
0.661 0.322 0.483 Er
0.500 0.000 0.000 Er
0.924 0.848 0.273 Pm
0.076 0.152 0.727 Pm
```

## Properties
**Crystal system**: monoclinic
**Space-group type**: No. 12

The following is a GGA-PBE calculation of crystalline PmEr5Ag4 at its relaxed geometry, from Alexandria via LeMat-Bulk.

The structure in POSCAR format:
```
PmEr5Ag4
1.0
3.579 0.000 0.000
0.000 3.579 0.000
0.000 0.000 19.674
Ag Er Pm
4 5 1
direct
0.000 0.000 0.221 Ag
0.000 0.000 0.407 Ag
0.000 0.000 0.779 Ag
0.000 0.000 0.593 Ag
0.500 0.500 0.686 Er
0.500 0.500 0.871 Er
0.500 0.500 0.129 Er
0.500 0.500 0.500 Er
0.500 0.500 0.314 Er
0.000 0.000 0.000 Pm
```

## Properties
**Crystal system**: tetragonal
**Space-group type**: No. 123

The following is a GGA-PBE calculation of crystalline PmErAg at its relaxed geometry, from Alexandria via LeMat-Bulk.

The structure in POSCAR format:
```
PmErAg
1.0
-2.947 1.181 1.707
-1.894 -0.316 -3.050
0.916 -6.433 2.228
Er Pm Ag
1 1 1
direct
0.022 0.022 0.044 Er
0.320 0.320 0.640 Pm
0.658 0.658 0.316 Ag
```

## Properties
**Energy relative to the lowest polymorph listed for this composition**: 0 meV per atom
**Crystal system**: tetragonal
**Space-group type**: No. 107

The following is a GGA-PBE calculation of crystalline Pm3Er2Ag2 at its relaxed geometry, from Alexandria via LeMat-Bulk.

The structure in POSCAR format:
```
Pm3Er2Ag2
1.0
4.865 0.000 0.646
0.000 3.464 0.000
0.918 0.000 11.732
Pm Ag Er
3 2 2
direct
0.141 0.000 0.718 Pm
0.000 0.000 0.000 Pm
0.859 0.000 0.282 Pm
0.429 0.500 0.142 Ag
0.571 0.500 0.858 Ag
0.709 0.500 0.583 Er
0.291 0.500 0.417 Er
```

## Properties
**Energy relative to the lowest polymorph listed for this composition**: 153 meV per atom
**Crystal system**: orthorhombic
**Space-group type**: No. 65

The following is a GGA-PBE calculation of crystalline PmEr2Ag at its relaxed geometry, from Alexandria via LeMat-Bulk.

The structure in POSCAR format:
```
PmEr2Ag
1.0
4.993 -0.002 0.000
-2.498 5.909 0.000
0.000 0.000 7.857
Ag Er Pm
2 4 2
direct
0.206 0.413 0.250 Ag
0.794 0.587 0.750 Ag
0.356 0.712 0.537 Er
0.356 0.712 0.963 Er
0.644 0.288 0.463 Er
0.644 0.288 0.037 Er
0.946 0.893 0.250 Pm
0.054 0.107 0.750 Pm
```

## Properties
**Energy relative to the lowest polymorph listed for this composition**: 58 meV per atom
**Crystal system**: orthorhombic
**Space-group type**: No. 63

The following is a GGA-PBE calculation of crystalline PmEr4Ag at its relaxed geometry, from Alexandria via LeMat-Bulk.

The structure in POSCAR format:
```
PmEr4Ag
1.0
3.543 0.000 0.000
0.000 3.543 0.000
0.000 0.000 13.838
Pm Er Ag
1 4 1
direct
0.000 0.000 0.000 Pm
0.500 0.500 0.183 Er
0.000 0.000 0.364 Er
0.000 0.000 0.636 Er
0.500 0.500 0.817 Er
0.500 0.500 0.500 Ag
```

## Properties
**Energy relative to the lowest polymorph listed for this composition**: 0 meV per atom
**Crystal system**: tetragonal
**Space-group type**: No. 123

The following is a GGA-PBE calculation of crystalline Pm4ErAg at its relaxed geometry, from Alexandria via LeMat-Bulk.

The structure in POSCAR format:
```
Pm4ErAg
1.0
3.640 -0.001 0.000
0.001 3.640 0.000
0.000 0.000 14.084
Pm Er Ag
4 1 1
direct
0.000 0.000 0.360 Pm
0.500 0.500 0.824 Pm
0.500 0.500 0.176 Pm
0.000 0.000 0.640 Pm
0.000 0.000 0.000 Er
0.500 0.500 0.500 Ag
```

## Properties
**Energy relative to the lowest polymorph listed for this composition**: 0 meV per atom
**Crystal system**: tetragonal
**Space-group type**: No. 123

The following is a GGA-PBE calculation of crystalline PmEr2Ag at its relaxed geometry, from Alexandria via LeMat-Bulk.

The structure in POSCAR format:
```
PmEr2Ag
1.0
3.603 0.000 0.000
1.802 3.120 0.000
1.803 1.041 10.330
Er Ag Pm
2 1 1
direct
0.073 0.073 0.782 Er
0.261 0.261 0.218 Er
0.666 0.666 0.001 Ag
0.500 0.500 0.499 Pm
```

## Properties
**Energy relative to the lowest polymorph listed for this composition**: 133 meV per atom
**Crystal system**: trigonal
**Space-group type**: No. 160

The following is a GGA-PBE calculation of crystalline PmEr3Ag4 at its relaxed geometry, from Alexandria via LeMat-Bulk.

The structure in POSCAR format:
```
PmEr3Ag4
1.0
-4.008 3.224 -0.163
-2.468 -2.753 6.262
5.431 7.016 5.225
Er Pm Ag
6 2 8
direct
0.000 0.000 0.500 Er
0.499 0.000 0.250 Er
0.501 0.000 0.750 Er
0.501 0.500 0.750 Er
0.000 0.000 0.000 Er
0.499 0.500 0.250 Er
0.000 0.500 0.000 Pm
0.000 0.500 0.500 Pm
0.001 0.760 0.750 Ag
0.999 0.760 0.250 Ag
0.001 0.240 0.750 Ag
0.999 0.240 0.250 Ag
0.500 0.760 0.500 Ag
0.500 0.240 0.500 Ag
0.500 0.760 0.000 Ag
0.500 0.240 0.000 Ag
```

## Properties
**Crystal system**: orthorhombic
**Space-group type**: No. 51

The following is a GGA-PBE calculation of crystalline PmErAg at its relaxed geometry, from Alexandria via LeMat-Bulk.

The structure in POSCAR format:
```
PmErAg
1.0
3.733 0.000 0.000
0.000 5.067 0.000
0.000 -2.533 4.388
Pm Ag Er
1 1 1
direct
0.039 0.000 0.000 Pm
0.383 0.333 0.667 Ag
0.578 0.667 0.333 Er
```

## Properties
**Energy relative to the lowest polymorph listed for this composition**: 141 meV per atom
**Crystal system**: trigonal
**Space-group type**: No. 156

The following is a GGA-PBE calculation of crystalline Pm4ErAg at its relaxed geometry, from Alexandria via LeMat-Bulk.

The structure in POSCAR format:
```
Pm4ErAg
1.0
-2.441 -2.463 -4.267
4.105 -5.023 0.551
-5.511 -3.544 8.740
Pm Ag Er
8 2 2
direct
0.253 0.595 0.506 Pm
0.747 0.095 0.494 Pm
0.466 0.879 0.933 Pm
0.065 0.710 0.129 Pm
0.935 0.210 0.871 Pm
0.325 0.063 0.649 Pm
0.534 0.379 0.067 Pm
0.675 0.563 0.351 Pm
0.393 0.477 0.785 Ag
0.607 0.977 0.215 Ag
0.867 0.710 0.734 Er
0.133 0.210 0.266 Er
```

## Properties
**Energy relative to the lowest polymorph listed for this composition**: 108 meV per atom
**Crystal system**: orthorhombic
**Space-group type**: No. 36

The following is a GGA-PBE calculation of crystalline PmErAg at its relaxed geometry, from Alexandria via LeMat-Bulk.

The structure in POSCAR format:
```
PmErAg
1.0
-4.064 1.892 2.570
-2.874 -3.777 -1.763
2.972 -1.619 5.892
Pm Er Ag
2 2 2
direct
0.750 0.093 0.186 Pm
0.250 0.907 0.814 Pm
0.750 0.392 0.784 Er
0.250 0.608 0.216 Er
0.250 0.242 0.484 Ag
0.750 0.758 0.516 Ag
```

## Properties
**Energy relative to the lowest polymorph listed for this composition**: 3 meV per atom
**Crystal system**: orthorhombic
**Space-group type**: No. 63

The following is a GGA-PBE calculation of crystalline PmEr2Ag2 at its relaxed geometry, from Alexandria via LeMat-Bulk.

The structure in POSCAR format:
```
PmEr2Ag2
1.0
-1.799 -1.217 -2.907
-3.118 -2.915 3.150
-7.690 10.883 2.460
Er Pm Ag
4 2 4
direct
0.953 0.250 0.905 Er
0.047 0.750 0.095 Er
0.235 0.750 0.470 Er
0.765 0.250 0.530 Er
0.146 0.250 0.291 Pm
0.854 0.750 0.709 Pm
0.643 0.750 0.285 Ag
0.357 0.250 0.715 Ag
0.544 0.250 0.088 Ag
0.456 0.750 0.912 Ag
```

## Properties
**Crystal system**: monoclinic
**Space-group type**: No. 11

The following is a GGA-PBE calculation of crystalline Pm5ErAg4 at its relaxed geometry, from Alexandria via LeMat-Bulk.

The structure in POSCAR format:
```
Pm5ErAg4
1.0
-2.221 0.522 -2.904
0.735 -3.423 -1.177
-15.525 -6.983 10.616
Ag Pm Er
4 5 1
direct
0.000 0.000 0.215 Ag
0.000 0.000 0.406 Ag
0.000 0.000 0.785 Ag
0.000 0.000 0.594 Ag
0.500 0.500 0.122 Pm
0.500 0.500 0.878 Pm
0.500 0.500 0.690 Pm
0.500 0.500 0.310 Pm
0.500 0.500 0.500 Pm
0.000 0.000 0.000 Er
```

## Properties
**Crystal system**: tetragonal
**Space-group type**: No. 123

The following is a GGA-PBE calculation of crystalline PmErAg at its relaxed geometry, from Alexandria via LeMat-Bulk.

The structure in POSCAR format:
```
PmErAg
1.0
5.069 0.000 0.000
2.535 4.390 0.000
2.535 1.463 4.139
Er Pm Ag
1 1 1
direct
0.500 0.500 0.500 Er
0.000 0.000 0.000 Pm
0.250 0.250 0.250 Ag
```

## Properties
**Energy relative to the lowest polymorph listed for this composition**: 229 meV per atom
**Crystal system**: cubic
**Space-group type**: No. 216

| no. | energy of formation (eV per atom) |
| --- | --- |
| 1 | 0.1004 |
| 2 | -0.2317 |
| 3 | 0.0554 |
| 4 | 0.0171 |
| 5 | -0.1128 |
| 6 | -0.3242 |
| 7 | -0.1652 |
| 8 | -0.1371 |
| 9 | -0.0308 |
| 10 | -0.1035 |
| 11 | -0.2577 |
| 12 | -0.1695 |
| 13 | 0.0405 |
| 14 | -0.0795 |
| 15 | -0.0775 |
| 16 | -0.0687 |
| 17 | -0.0043 |
| 18 | -0.3129 |
| 19 | -0.0288 |
| 20 | 0.0390 |
| 21 | -0.1664 |
| 22 | -0.2303 |
| 23 | -0.2043 |
| 24 | 0.0599 |